This record from OQMD describes a geometry-optimized LaB4Au structure. The functional is PBE-GGA.

```
6
Lattice="3.257 0.000 0.000 -1.629 2.821 0.000 0.000 0.000 7.651" Properties=species:S:1:pos:R:3 pbc="T T T"
La 0.000 0.000 0.000
B 0.000 1.880 2.083
B 0.000 1.880 5.568
B 1.629 0.940 2.083
B 1.629 0.940 5.568
Au 0.000 0.000 3.826
```

Summary:
**V**: 11.71 A^3/atom
**Magnetic moment**: 0.0 μB/f.u.
**Theoretical density**: 9.0 g/cm3
**Relative energy among the computed polymorphs**: 123 meV/atom
**Space group**: P6/mmm, No. 191

***

This record from OQMD describes a geometry-optimized NbTl2 structure. The functional is PBE-GGA.

```
6
Lattice="0.000 4.114 4.114 4.114 0.000 4.114 4.114 4.114 0.000" Properties=species:S:1:pos:R:3 pbc="T T T"
Nb 1.029 1.029 1.029
Nb 7.200 7.200 7.200
Tl 4.114 2.057 2.057
Tl 2.057 4.114 2.057
Tl 2.057 2.057 4.114
Tl 4.114 4.114 4.114
```

Summary:
**V**: 23.22 A^3/atom
**Magnetic moment**: 0.0 μB/f.u.
**Theoretical density**: 12.0 g/cm3
**Relative energy among the computed polymorphs**: 0 meV/atom
**Space group**: Fd-3m, No. 227

***

This record from OQMD describes a geometry-optimized TaNb3Ga2C2 structure. The functional is PBE-GGA.

```
8
Lattice="3.148 0.000 0.000 -1.574 2.726 0.000 0.000 0.000 13.661" Properties=species:S:1:pos:R:3 pbc="T T T"
Ta 0.000 0.000 0.000
Nb 0.000 0.000 9.280
Nb 0.000 1.817 2.448
Nb 0.000 1.817 6.823
Ga 0.000 0.000 4.636
Ga 0.000 1.817 11.466
C 1.574 0.909 1.205
C 1.574 0.909 8.050
```

Summary:
**V**: 14.65 A^3/atom
**Total DFT energy (no corrections)**: -8.851 eV per atom
**Magnetic moment**: 0.0 μB/f.u.
**Theoretical density**: 8.8 g/cm3
**Space group**: P3m1, No. 156

***

This record from OQMD describes a geometry-optimized Mg3Cd2 structure. The functional is PBE-GGA.

```
10
Lattice="3.147 1.817 6.703 -3.147 1.817 6.703 0.000 -3.634 6.703" Properties=species:S:1:pos:R:3 pbc="T T T"
Mg -1.766 0.576 8.379
Mg -1.381 -1.241 11.731
Mg 0.384 -1.817 8.379
Mg -0.384 1.817 11.731
Mg 1.381 1.241 8.379
Mg 1.766 -0.576 11.731
Cd 0.000 0.000 3.701
Cd 0.000 0.000 6.354
Cd 0.000 0.000 13.756
Cd 0.000 0.000 16.409
```

Summary:
**V**: 23.00 A^3/atom
**Total DFT energy (no corrections)**: -1.206 eV per atom
**Theoretical density**: 4.3 g/cm3
**Space group**: R-3c, No. 167

***

This record from OQMD describes a geometry-optimized Ta3Ni2 structure. The functional is PBE-GGA.

```
10
Lattice="3.455 1.995 3.839 -3.455 1.995 3.839 0.000 -3.990 3.839" Properties=species:S:1:pos:R:3 pbc="T T T"
Ta -2.498 -0.337 4.799
Ta -0.957 -2.332 6.719
Ta 1.541 -1.995 4.799
Ta -1.541 1.995 6.719
Ta 0.957 2.332 4.799
Ta 2.498 0.337 6.719
Ni 0.000 0.000 1.125
Ni 0.000 0.000 4.634
Ni 0.000 0.000 6.884
Ni 0.000 0.000 10.393
```

Summary:
**Formation energy**: 0.12 eV per atom
**V**: 15.88 A^3/atom
**Magnetic moment**: 0.0 μB/f.u.
**Theoretical density**: 13.8 g/cm3
**Space group**: R-3c, No. 167

***

This record from OQMD describes a geometry-optimized Co4C3 structure. The functional is PBE-GGA.

```
14
Lattice="-3.119 3.119 3.119 3.119 -3.119 3.119 3.119 3.119 -3.119" Properties=species:S:1:pos:R:3 pbc="T T T"
Co 2.925 0.194 -0.194
Co 4.484 -1.365 1.365
Co 0.194 0.194 0.194
Co 0.194 -0.194 2.925
Co -0.194 2.925 0.194
Co 1.365 4.484 -1.365
Co 1.754 1.754 1.754
Co -1.365 1.365 4.484
C 4.678 0.780 0.000
C 2.339 0.000 1.559
C 1.559 2.339 0.000
C 0.000 1.559 2.339
C 0.780 0.000 4.678
C 0.000 4.678 0.780
```

Summary:
**V**: 8.67 A^3/atom
**Magnetic moment**: 0.0 μB/f.u.
**Theoretical density**: 7.4 g/cm3
**Relative energy among the computed polymorphs**: 0 meV/atom
**Space group**: I-43d, No. 220

***

This record from OQMD describes a geometry-optimized SnPdPt structure. The functional is PBE-GGA.

```
12
Lattice="5.701 0.000 0.000 0.000 4.471 0.000 0.000 0.000 8.319" Properties=species:S:1:pos:R:3 pbc="T T T"
Sn 1.304 1.118 0.531
Sn 1.547 3.353 4.691
Sn 4.155 1.118 3.628
Sn 4.397 3.353 7.788
Pd 0.228 1.118 5.902
Pd 2.623 3.353 1.742
Pd 3.078 1.118 6.577
Pd 5.474 3.353 2.418
Pt 1.427 1.118 3.205
Pt 1.424 3.353 7.365
Pt 4.277 1.118 0.954
Pt 4.275 3.353 5.114
```

Summary:
**V**: 17.67 A^3/atom
**Magnetic moment**: 0.0 μB/f.u.
**Theoretical density**: 13.2 g/cm3
**Relative energy among the computed polymorphs**: 0 meV/atom
**Space group**: Pnma, No. 62

***

This record from OQMD describes a geometry-optimized ZnPPbO structure. The functional is PBE-GGA.

```
8
Lattice="3.752 0.000 0.000 0.000 6.362 0.000 0.000 0.000 6.640" Properties=species:S:1:pos:R:3 pbc="T T T"
Zn 0.000 1.353 0.000
Zn 0.000 5.009 3.320
P 0.000 0.784 2.296
P 0.000 5.578 5.616
Pb 1.876 2.009 3.710
Pb 1.876 4.353 0.390
O 1.876 2.232 6.158
O 1.876 4.130 2.838
```

Summary:
**V**: 19.81 A^3/atom
**Theoretical density**: 6.7 g/cm3
**Relative energy among the computed polymorphs**: 148 meV/atom
**Space group**: Pmc2_1, No. 26

***

This record from OQMD describes a geometry-optimized TbScNb structure. The functional is PBE-GGA.

```
3
Lattice="0.000 3.464 3.464 3.464 0.000 3.464 3.464 3.464 0.000" Properties=species:S:1:pos:R:3 pbc="T T T"
Tb 0.000 0.000 0.000
Sc 3.464 3.464 3.464
Nb 5.196 5.196 5.196
```

Summary:
**Formation energy**: 0.83 eV per atom
**V**: 27.71 A^3/atom
**Magnetic moment**: 1.8 μB/f.u.
**Theoretical density**: 5.9 g/cm3
**Relative energy among the computed polymorphs**: 0 meV/atom
**Space group**: F-43m, No. 216

***

This record from OQMD describes a geometry-optimized Li3AuO2 structure. The functional is PBE-GGA.

```
12
Lattice="-2.442 4.822 2.733 2.442 -4.822 2.733 2.442 4.822 -2.733" Properties=species:S:1:pos:R:3 pbc="T T T"
Li 2.442 -2.351 1.367
Li 0.000 0.000 1.367
Li 2.442 2.351 1.367
Li 0.000 2.471 1.367
Li 0.000 0.000 4.100
Li 0.000 7.173 1.367
Au 2.442 0.000 0.000
Au 0.000 4.822 0.000
O 0.924 1.416 0.000
O 0.924 -1.416 2.733
O 1.518 6.238 0.000
O 1.518 3.406 2.733
```

Summary:
**V**: 10.73 A^3/atom
**Total DFT energy (no corrections)**: -4.513 eV per atom
**Theoretical density**: 6.4 g/cm3
**Space group**: Ibam, No. 72

***

This record from OQMD describes a geometry-optimized TlHgW2 structure. The functional is PBE-GGA.

```
4
Lattice="0.000 3.356 3.356 3.356 0.000 3.356 3.356 3.356 0.000" Properties=species:S:1:pos:R:3 pbc="T T T"
Tl 0.000 0.000 0.000
Hg 1.678 1.678 1.678
W 3.356 3.356 3.356
W 5.035 5.035 5.035
```

Summary:
**V**: 18.91 A^3/atom
**Total DFT energy (no corrections)**: -5.933 eV per atom
**Magnetic moment**: 0.0 μB/f.u.
**Theoretical density**: 17.0 g/cm3
**Space group**: F-43m, No. 216

***

This record from OQMD describes a geometry-optimized NaTcHgOs structure. The functional is PBE-GGA.

```
4
Lattice="0.000 3.213 3.213 3.213 0.000 3.213 3.213 3.213 0.000" Properties=species:S:1:pos:R:3 pbc="T T T"
Na 0.000 0.000 0.000
Tc 3.213 3.213 3.213
Hg 1.606 1.606 1.606
Os 4.819 4.819 4.819
```

Summary:
**V**: 16.58 A^3/atom
**Magnetic moment**: 0.0 μB/f.u.
**Theoretical density**: 12.8 g/cm3
**Relative energy among the computed polymorphs**: 27 meV/atom
**Space group**: F-43m, No. 216

***

This record from OQMD describes a geometry-optimized Dy2Ho3Tm2Ni2Te2 structure. The functional is PBE-GGA.

```
11
Lattice="-1.921 7.776 4.758 1.921 -7.776 4.758 1.921 7.776 -4.758" Properties=species:S:1:pos:R:3 pbc="T T T"
Dy 0.000 2.279 0.000
Dy 0.000 13.272 0.000
Ho 1.921 -2.070 3.355
Ho 1.921 2.070 3.355
Ho 0.000 7.776 2.564
Tm 1.921 4.896 1.415
Tm 0.000 2.880 6.173
Ni 1.921 3.693 -1.511
Ni 0.000 4.082 3.247
Te 1.921 0.000 1.019
Te 0.000 0.000 4.804
```

Summary:
**V**: 25.84 A^3/atom
**Total DFT energy (no corrections)**: -5.165 eV per atom
**Magnetic moment**: 0.0 μB/f.u.
**Theoretical density**: 8.9 g/cm3
**Space group**: Imm2, No. 44

***

This record from OQMD describes a geometry-optimized YUPd structure. The functional is PBE-GGA.

```
3
Lattice="0.000 3.401 3.401 3.401 0.000 3.401 3.401 3.401 0.000" Properties=species:S:1:pos:R:3 pbc="T T T"
Y 0.000 0.000 0.000
U 3.401 3.401 3.401
Pd 5.101 5.101 5.101
```

Summary:
**Formation energy**: 0.20 eV per atom
**V**: 26.22 A^3/atom
**Magnetic moment**: 3.9 μB/f.u.
**Theoretical density**: 9.1 g/cm3
**Relative energy among the computed polymorphs**: 0 meV/atom
**Space group**: F-43m, No. 216

***

This record from OQMD describes a geometry-optimized NdPdAu structure. The functional is PBE-GGA.

```
3
Lattice="0.000 3.334 3.334 3.334 0.000 3.334 3.334 3.334 0.000" Properties=species:S:1:pos:R:3 pbc="T T T"
Nd 0.000 0.000 0.000
Pd 5.001 5.001 5.001
Au 3.334 3.334 3.334
```

Summary:
**Formation energy**: -0.68 eV per atom
**V**: 24.71 A^3/atom
**Magnetic moment**: 0.0 μB/f.u.
**Theoretical density**: 10.0 g/cm3
**Space group**: F-43m, No. 216

***

This record from OQMD describes a geometry-optimized CsGdErTe3 structure. The functional is PBE-GGA.

```
12
Lattice="2.368 -8.752 0.000 2.368 8.752 0.000 0.000 0.000 11.948" Properties=species:S:1:pos:R:3 pbc="T T T"
Cs 2.368 4.478 8.961
Cs 2.368 -4.478 2.987
Gd 2.368 0.000 0.000
Gd 2.368 0.000 5.974
Er 2.368 8.156 2.987
Er 2.368 -8.156 8.961
Te 2.368 6.631 0.523
Te 2.368 6.631 5.451
Te 2.368 1.119 2.987
Te 2.368 -1.119 8.961
Te 2.368 -6.631 6.497
Te 2.368 -6.631 11.426
```

Summary:
**V**: 41.27 A^3/atom
**Total DFT energy (no corrections)**: -4.496 eV per atom
**Magnetic moment**: 0.0 μB/f.u.
**Theoretical density**: 5.6 g/cm3
**Space group**: Cmcm, No. 63

***

This record from OQMD describes a geometry-optimized TbGd2In3CuNi2 structure. The functional is PBE-GGA.

```
9
Lattice="3.850 0.000 0.000 0.000 6.481 3.741 0.000 -6.481 3.741" Properties=species:S:1:pos:R:3 pbc="T T T"
Tb 0.000 0.000 0.000
Gd 0.000 -2.674 4.630
Gd 0.000 2.674 4.630
In 1.925 -1.669 2.121
In 1.925 1.669 2.121
In 1.925 0.000 5.016
Cu 0.000 0.000 3.086
Ni 1.925 -4.322 3.087
Ni 1.925 4.322 3.087
```

Summary:
**V**: 20.74 A^3/atom
**Total DFT energy (no corrections)**: -4.590 eV per atom
**Magnetic moment**: 0.0 μB/f.u.
**Theoretical density**: 8.9 g/cm3
**Space group**: Amm2, No. 38

***

This record from OQMD describes a geometry-optimized Mg3Ni structure. The functional is PBE-GGA.

```
8
Lattice="4.669 0.000 0.000 0.000 5.853 0.000 0.000 0.000 5.115" Properties=species:S:1:pos:R:3 pbc="T T T"
Mg 1.167 0.005 0.869
Mg 1.167 2.921 0.869
Mg 1.167 4.390 3.252
Mg 3.502 1.463 1.864
Mg 3.502 2.931 4.246
Mg 3.502 5.848 4.246
Ni 1.167 1.463 3.486
Ni 3.502 4.390 1.629
```

Summary:
**V**: 17.47 A^3/atom
**Total DFT energy (no corrections)**: -2.595 eV per atom
**Magnetic moment**: 0.0 μB/f.u.
**Theoretical density**: 3.1 g/cm3
**Space group**: Pmmn, No. 59

***

This record from OQMD describes a geometry-optimized GdS structure. The functional is PBE-GGA.

```
2
Lattice="0.000 3.089 3.089 3.089 0.000 3.089 3.089 3.089 0.000" Properties=species:S:1:pos:R:3 pbc="T T T"
Gd 0.000 0.000 0.000
S 4.633 4.633 4.633
```

Summary:
**V**: 29.46 A^3/atom
**Total DFT energy (no corrections)**: -5.964 eV per atom
**Magnetic moment**: 0.0 μB/f.u.
**Theoretical density**: 5.3 g/cm3
**Space group**: F-43m, No. 216

***

This record from OQMD describes a geometry-optimized CsCo2S3 structure. The functional is PBE-GGA.

```
12
Lattice="8.444 0.000 0.000 0.000 3.534 0.000 -3.716 0.000 8.317" Properties=species:S:1:pos:R:3 pbc="T T T"
Cs -0.859 0.883 2.199
Cs 5.587 2.650 6.118
Co 3.425 0.883 1.263
Co 2.568 2.650 3.262
Co 2.160 0.883 5.054
Co 1.302 2.650 7.053
S 1.895 2.650 1.201
S 0.876 2.650 4.709
S -0.162 0.883 7.313
S 4.890 2.650 1.004
S 3.852 0.883 3.608
S 2.833 0.883 7.115
```

Summary:
**V**: 20.68 A^3/atom
**Total DFT energy (no corrections)**: -5.123 eV per atom
**Magnetic moment**: 1.7 μB/f.u.
**Theoretical density**: 4.6 g/cm3
**Space group**: P2_1/m, No. 11